Entry 1:
First-principles (PBE) data for crystalline KTc2Au at its relaxed geometry, as listed in Alexandria via LeMat-Bulk.

Summary:
* space-group type: Cmm2
* ΔE to the lowest computed polymorph: 0.204 eV/atom

```
KTc2Au
1.0
2.7982 -0.0420 0.0000
-1.1329 2.5589 0.0000
0.0000 0.0000 10.4148
Au K Tc
1 1 2
Direct
0.0000 0.0000 0.4749
0.5000 0.5000 0.7531
0.0000 0.0000 0.0377
0.5000 0.5000 0.2343
```


Entry 2:
First-principles (PBE) data for crystalline AlPSe at its relaxed geometry, as listed in Alexandria via LeMat-Bulk.

Summary:
* space-group type: P-1
* formation energy without anion corrections: -0.495 eV per atom

```
AlPSe
1.0
3.6238 0.0001 0.0001
1.7641 3.3018 0.0004
0.0738 0.8387 11.3505
P Al Se
2 2 2
Direct
0.7302 0.0406 0.0579
0.2698 0.9594 0.9421
0.0326 0.4855 0.7864
0.9674 0.5145 0.2136
0.3108 0.8360 0.3200
0.6892 0.1640 0.6800
```


Entry 3:
First-principles (PBE) data for crystalline TbSmW2N6 at its relaxed geometry, as listed in Alexandria via LeMat-Bulk.

Summary:
* space-group type: C2/c
* formation energy without anion corrections: -0.975 eV per atom

```
TbSmW2N6
1.0
-2.5990 -1.4429 -5.6571
-6.3935 -3.5220 1.4257
-4.6809 5.5328 -1.6707
Tb Sm W N
2 2 4 12
Direct
0.2500 0.2912 0.7088
0.7500 0.7088 0.2912
0.2500 0.9072 0.0928
0.7500 0.0928 0.9072
0.2783 0.7976 0.6211
0.2217 0.3789 0.2024
0.7217 0.2024 0.3789
0.7783 0.6211 0.7976
0.1591 0.9995 0.7756
0.3409 0.2244 0.0005
0.8409 0.0005 0.2244
0.6591 0.7756 0.9995
0.3487 0.8821 0.3775
0.1513 0.6225 0.1179
0.6513 0.1179 0.6225
0.8487 0.3775 0.8821
0.0713 0.6392 0.6562
0.4287 0.3438 0.3608
0.9287 0.3608 0.3438
0.5713 0.6562 0.6392
```


Entry 4:
First-principles (PBE) data for crystalline Nd12Zn6Co at its relaxed geometry, as listed in Alexandria via LeMat-Bulk.

Summary:
* space-group type: R-3

```
Nd12Zn6Co
1.0
-1.4329 -6.1837 5.2198
2.0013 -4.9859 -6.2187
7.7856 0.9831 2.4405
Nd Zn Co
12 6 1
Direct
0.8045 0.5737 0.4561
0.4561 0.8045 0.5737
0.5737 0.4561 0.8045
0.1955 0.4263 0.5439
0.5439 0.1955 0.4263
0.4263 0.5439 0.1955
0.9681 0.0830 0.3167
0.9170 0.6833 0.0319
0.6833 0.0319 0.9170
0.0319 0.9170 0.6833
0.0830 0.3167 0.9681
0.3167 0.9681 0.0830
0.6546 0.8526 0.2592
0.7408 0.3454 0.1474
0.1474 0.7408 0.3454
0.3454 0.1474 0.7408
0.2592 0.6546 0.8526
0.8526 0.2592 0.6546
0.0000 0.0000 0.0000
```


Entry 5:
First-principles (PBE) data for crystalline La6SmTh at its relaxed geometry, as listed in Alexandria via LeMat-Bulk.

Summary:
* space-group type: P4/mmm
* ΔE to the lowest computed polymorph: 0.000 eV/atom

```
La6SmTh
1.0
-1.3067 5.0370 -0.1183
-4.0793 -0.9860 3.0790
5.9302 1.7361 8.4127
La Sm Th
6 1 1
Direct
0.5000 0.5000 0.0000
0.5000 0.5000 0.5000
0.5000 0.0000 0.2561
0.5000 0.0000 0.7439
0.0000 0.5000 0.2561
0.0000 0.5000 0.7439
0.0000 0.0000 0.0000
0.0000 0.0000 0.5000
```


Entry 6:
First-principles (PBE) data for crystalline SmBRhO5 at its relaxed geometry, as listed in Alexandria via LeMat-Bulk.

Summary:
* space-group type: C2/c
* formation energy without anion corrections: -2.086 eV per atom

```
SmBRhO5
1.0
5.3986 -0.0635 0.0176
-1.6367 5.1449 0.0176
-1.5429 -2.0840 6.2441
Sm B Rh O
2 2 2 10
Direct
0.3549 0.6451 0.2500
0.6451 0.3549 0.7500
0.6916 0.3084 0.2500
0.3084 0.6916 0.7500
0.0000 0.0000 0.5000
0.0000 0.0000 0.0000
0.0913 0.9087 0.2500
0.9087 0.0913 0.7500
0.8938 0.3309 0.1333
0.1062 0.6691 0.8667
0.6691 0.1062 0.3667
0.3309 0.8938 0.6333
0.7466 0.5809 0.4207
0.2534 0.4191 0.5793
0.4191 0.2534 0.0793
0.5809 0.7466 0.9207
```


Entry 7:
First-principles (PBE) data for crystalline BiRuPt3 at its relaxed geometry, as listed in Alexandria via LeMat-Bulk.

Summary:
* space-group type: Pm-3m
* ΔE to the lowest computed polymorph: 0.000 eV/atom

```
BiRuPt3
1.0
4.8309 0.0000 0.0000
0.0000 4.8309 0.0000
0.0000 0.0000 4.8309
Ru Bi Pt
1 1 3
Direct
0.0000 0.0000 0.0000
0.5000 0.5000 0.5000
0.0000 0.5000 0.0000
0.0000 0.0000 0.5000
0.5000 0.0000 0.0000
```


Entry 8:
First-principles (PBE) data for crystalline FeOsW2 at its relaxed geometry, as listed in Alexandria via LeMat-Bulk.

Summary:
* space-group type: Fm-3m
* ΔE to the lowest computed polymorph: 0.131 eV/atom

```
FeOsW2
1.0
0.0000 3.0896 3.0896
3.0896 0.0000 3.0896
3.0896 3.0896 0.0000
Os Fe W
1 1 2
Direct
0.5000 0.5000 0.5000
0.0000 0.0000 0.0000
0.2500 0.2500 0.2500
0.7500 0.7500 0.7500
```


Entry 9:
First-principles (PBE) data for crystalline AlTl2GaSe4 at its relaxed geometry, as listed in Alexandria via LeMat-Bulk.

Summary:
* space-group type: I-4
* formation energy without anion corrections: -0.626 eV per atom

```
AlTl2GaSe4
1.0
7.3235 -0.0008 -0.0045
-0.0025 7.3232 -0.0039
-3.6579 -3.6588 4.3941
Al Tl Ga Se
1 2 1 4
Direct
0.9859 0.4859 0.9718
0.4857 0.9857 0.9714
0.2356 0.2356 0.4713
0.7359 0.7359 0.4718
0.7045 0.6129 0.7279
0.8591 0.4486 0.2161
0.3570 0.7674 0.2159
0.0234 0.1150 0.7279
```


Entry 10:
First-principles (PBE) data for crystalline PaIrPt2 at its relaxed geometry, as listed in Alexandria via LeMat-Bulk.

Summary:
* space-group type: I4/mmm
* ΔE to the lowest computed polymorph: 0.097 eV/atom

```
PaIrPt2
1.0
4.0445 0.0000 0.0000
0.0000 4.0454 0.0000
-2.0222 -2.0227 4.3781
Pa Ir Pt
1 1 2
Direct
0.0000 0.0000 0.0000
0.5000 0.5000 0.0000
0.2499 0.7499 0.4999
0.7501 0.2501 0.5001
```


Entry 11:
First-principles (PBE) data for crystalline HfThCd2 at its relaxed geometry, as listed in Alexandria via LeMat-Bulk.

Summary:
* space-group type: P4/mmm
* ΔE to the lowest computed polymorph: 0.000 eV/atom

```
HfThCd2
1.0
-1.4690 2.4439 1.5862
-2.2217 0.2097 -2.3805
-5.2434 -5.9857 4.3664
Hf Th Cd
1 1 2
Direct
0.5000 0.5000 0.0000
0.5000 0.5000 0.5000
0.0000 0.0000 0.7745
0.0000 0.0000 0.2255
```


Entry 12:
First-principles (PBE) data for crystalline Ba2Mg3AlPb4 at its relaxed geometry, as listed in Alexandria via LeMat-Bulk.

Summary:
* space-group type: P-4m2

```
Ba2Mg3AlPb4
1.0
5.0603 0.0000 0.0000
0.0000 5.0603 0.0000
0.0000 0.0000 12.0734
Ba Mg Al Pb
2 3 1 4
Direct
0.5000 0.0000 0.2545
0.0000 0.5000 0.7455
0.0000 0.0000 0.5000
0.5000 0.0000 0.8664
0.0000 0.5000 0.1336
0.5000 0.5000 0.5000
0.5000 0.5000 0.0000
0.0000 0.0000 0.0000
0.5000 0.0000 0.6282
0.0000 0.5000 0.3718
```


no.,magnetic moment (μB/cell),electronic total energy (eV per atom),theoretical density (g cm⁻³)
1,0.00,-5.65,9.69
2,0.00,-4.71,3.35
3,0.00,-9.50,7.81
4,0.00,-3.88,6.57
5,0.00,-5.19,7.14
6,0.00,-7.53,6.60
7,0.00,-5.30,13.19
8,2.45,-11.16,17.28
9,0.00,-3.81,5.79
10,0.00,-8.48,18.86
11,0.00,-4.81,10.92
12,0.00,-3.03,6.46